Entry 1:
## Ho3SnPd4 (PBE)

Data for crystalline Ho3SnPd4 at its relaxed geometry.

Summary:
Total DFT energy (no corrections) in eV per atom: -5.6787
Space-group type: Pm, No. 6

abc: 5.5057 4.5140 6.7630
angles: 90.00 90.75 90.00
Fractional coordinates of all 8 atoms:
Ho  0.8536  0.0000  0.8151
Ho  0.1463  0.5000  0.1792
Ho  0.3614  0.5000  0.6770
Pd  0.3478  0.0000  0.9626
Pd  0.6534  0.5000  0.0591
Pd  0.8415  0.5000  0.5274
Pd  0.1547  0.0000  0.4538
Sn  0.6413  0.0000  0.3258

Entry 2:
## ZrTlAg3S4 (PBE)

Data for crystalline ZrTlAg3S4 at its relaxed geometry.

Summary:
Total DFT energy (no corrections) in eV per atom: -4.5581
Space-group type: P2_1/m, No. 11

abc: 6.2894 7.7477 10.2518
angles: 90.00 107.40 90.00
Fractional coordinates of all 18 atoms:
S  0.0318  0.2500  0.9737
S  0.4427  0.4946  0.7775
S  0.4427  0.0054  0.7775
S  0.7766  0.7500  0.5876
S  0.9682  0.7500  0.0263
S  0.5573  0.9946  0.2225
S  0.5573  0.5054  0.2225
S  0.2234  0.2500  0.4124
Ag  0.2615  0.5479  0.9709
Ag  0.1674  0.7500  0.7140
Ag  0.7385  0.0479  0.0291
Ag  0.7385  0.4521  0.0291
Ag  0.8326  0.2500  0.2860
Ag  0.2615  0.9521  0.9709
Zr  0.3190  0.2500  0.2018
Zr  0.6810  0.7500  0.7982
Tl  0.3123  0.7500  0.3809
Tl  0.6877  0.2500  0.6191

Entry 3:
## YBMo (PBE)

Data for crystalline YBMo at its relaxed geometry.

Summary:
Total DFT energy (no corrections) in eV per atom: -7.6204
Space-group type: F-43m, No. 216

abc: 4.1588 4.1588 4.1588
angles: 60.00 60.00 60.00
Fractional coordinates of all 3 atoms:
B  0.0000  0.0000  0.0000
Mo  0.2500  0.2500  0.2500
Y  0.7500  0.7500  0.7500

Entry 4:
## AgBiSI2O10 (PBE)

Data for crystalline AgBiSI2O10 at its relaxed geometry.

Summary:
Total DFT energy (no corrections) in eV per atom: -4.9943
Space-group type: P1, No. 1

abc: 5.4685 6.8548 11.7775
angles: 91.16 92.27 109.64
Fractional coordinates of all 30 atoms:
O  0.7372  0.9939  0.0081
O  0.2755  0.8822  0.1313
O  0.1724  0.3296  0.4007
O  0.8550  0.6259  0.1629
O  0.5961  0.5879  0.3803
O  0.4003  0.8488  0.5427
O  0.2644  0.7140  0.8631
O  0.9172  0.9188  0.5095
O  0.2553  0.4681  0.6482
O  0.0003  0.1085  0.7559
O  0.8952  0.6554  0.6790
O  0.7207  0.2326  0.5285
O  0.5257  0.2985  0.0254
O  0.5106  0.2374  0.3044
O  0.1703  0.7709  0.3222
O  0.5220  0.2349  0.7647
O  0.2958  0.4547  0.2140
O  0.0507  0.3833  0.9981
O  0.7607  0.6611  0.8903
O  0.9441  0.9798  0.2308
I  0.9403  0.5231  0.8105
I  0.2595  0.1993  0.6558
I  0.6524  0.9899  0.4436
I  0.7964  0.2336  0.0934
S  0.3945  0.4004  0.3238
S  0.0617  0.8181  0.2127
Bi  0.4817  0.6336  0.0404
Bi  0.9993  0.5877  0.4957
Ag  0.5896  0.8497  0.7321
Ag  0.1801  0.0299  0.9304